## NaLa2Sb3Pd4 (PBE)

Data for a geometry-optimized NaLa2Sb3Pd4 structure.

Properties
ΔE_f (raw): -0.832 eV per atom
volume: 229.7 Å³/f.u.
raw total energy: -5.26 eV per atom

Geometry as POSCAR:
```
NaLa2Sb3Pd4
1.0
4.593 0.000 0.000
0.000 4.593 0.000
0.000 0.000 10.890
Na La Sb Pd
1 2 3 4
Direct
0.500 0.500 0.500
0.500 0.000 0.232
0.000 0.500 0.768
0.000 0.000 0.500
0.500 0.000 0.868
0.000 0.500 0.132
0.500 0.500 0.000
0.000 0.000 0.000
0.500 0.000 0.632
0.000 0.500 0.368
```

***

## NaLaSbPd (PBE)

Data for a geometry-optimized NaLaSbPd structure.

Properties
ΔE_f (raw): -0.614 eV per atom
volume: 102.3 Å³/f.u.
raw total energy: -4.50 eV per atom

Geometry as POSCAR:
```
NaLaSbPd
1.0
-4.071 -3.275 0.507
-1.027 -2.211 4.649
-4.233 1.477 2.731
Sb Na Pd La
1 1 1 1
Direct
0.750 0.750 0.750
0.000 0.000 0.000
0.250 0.250 0.250
0.500 0.500 0.500
```

***

## NaLa2Si3Pd12 (PBE)

Data for a geometry-optimized NaLa2Si3Pd12 structure.

Properties
ΔE_f (raw): -0.464 eV per atom
volume: 322.0 Å³/f.u.
raw total energy: -5.45 eV per atom

Geometry as POSCAR:
```
NaLa2Si3Pd12
1.0
6.689 -1.394 -0.988
2.091 6.504 -0.988
2.091 1.217 6.465
Na La Si Pd
1 2 3 12
Direct
0.000 0.000 0.000
0.628 0.628 0.628
0.372 0.372 0.372
0.500 0.000 0.000
0.000 0.500 0.000
0.000 0.000 0.500
0.361 0.361 0.921
0.820 0.820 0.328
0.328 0.820 0.820
0.921 0.361 0.361
0.820 0.328 0.820
0.361 0.921 0.361
0.639 0.639 0.079
0.180 0.180 0.672
0.672 0.180 0.180
0.079 0.639 0.639
0.180 0.672 0.180
0.639 0.079 0.639
```

***

## NaLaSnPd (PBE)

Data for a geometry-optimized NaLaSnPd structure.

Properties
volume: 91.0 Å³/f.u.
formation energy: -0.589 eV/atom
raw total energy: -4.45 eV per atom

Geometry as POSCAR:
```
NaLaSnPd
1.0
-2.867 -3.069 -2.803
0.228 -4.997 0.690
-3.890 -2.439 2.101
Na Sn Pd La
1 1 1 1
Direct
0.250 0.250 0.250
0.000 0.000 0.000
0.750 0.750 0.750
0.500 0.500 0.500
```

***

## NaLaTe2Pd2 (PBE)

Data for a geometry-optimized NaLaTe2Pd2 structure.

Properties
ΔE_f (raw): -0.988 eV per atom
volume: 153.2 Å³/f.u.
raw total energy: -4.81 eV per atom

Geometry as POSCAR:
```
NaLaTe2Pd2
1.0
4.615 0.000 0.000
-2.307 3.996 0.000
0.000 0.000 8.307
Na La Te Pd
1 1 2 2
Direct
0.000 0.000 0.500
0.000 0.000 0.000
0.667 0.333 0.749
0.333 0.667 0.251
0.667 0.333 0.230
0.333 0.667 0.770
```

***

## NaLaPdW2 (PBE)

Data for a geometry-optimized NaLaPdW2 structure.

Properties
volume: 131.1 Å³/f.u.
formation energy: 2.235 eV/atom
raw total energy: -5.23 eV per atom

Geometry as POSCAR:
```
NaLaPdW2
1.0
-0.858 0.738 4.854
-4.033 -3.396 -0.197
3.097 -3.742 1.116
Na Pd W La
1 1 2 1
Direct
0.500 0.500 0.500
0.000 0.500 0.000
0.000 0.000 0.500
0.500 0.000 0.000
0.000 0.000 0.000
```

***

## NaLaZnPd (PBE)

Data for a geometry-optimized NaLaZnPd structure.

Properties
volume: 93.4 Å³/f.u.
formation energy: -0.284 eV/atom
raw total energy: -3.46 eV per atom

Geometry as POSCAR:
```
NaLaZnPd
1.0
5.092 0.000 0.000
2.546 4.410 0.000
2.546 1.470 4.158
Na Zn Pd La
1 1 1 1
Direct
0.750 0.750 0.750
0.000 0.000 0.000
0.500 0.500 0.500
0.250 0.250 0.250
```

***

## NaLaPm2 (PBE)

Data for a geometry-optimized NaLaPm2 structure.

Properties
volume: 142.6 Å³/f.u.
formation energy: 0.118 eV/atom
distance to the lowest polymorph of the same formula: 0 kJ/mol of formula units
raw total energy: -3.82 eV per atom

Geometry as POSCAR:
```
NaLaPm2
1.0
3.631 0.000 0.000
0.000 3.631 0.000
0.000 0.000 10.814
Na La Pm
1 1 2
Direct
0.500 0.500 0.500
0.500 0.500 0.000
0.000 0.000 0.765
0.000 0.000 0.235
```

***

Please write out number 1 again, unchanged.
## NaLa2Sb3Pd4 (PBE)

Data for a geometry-optimized NaLa2Sb3Pd4 structure.

Properties
ΔE_f (raw): -0.832 eV per atom
volume: 229.7 Å³/f.u.
raw total energy: -5.26 eV per atom

Geometry as POSCAR:
```
NaLa2Sb3Pd4
1.0
4.593 0.000 0.000
0.000 4.593 0.000
0.000 0.000 10.890
Na La Sb Pd
1 2 3 4
Direct
0.500 0.500 0.500
0.500 0.000 0.232
0.000 0.500 0.768
0.000 0.000 0.500
0.500 0.000 0.868
0.000 0.500 0.132
0.500 0.500 0.000
0.000 0.000 0.000
0.500 0.000 0.632
0.000 0.500 0.368
```